# 1
Compound: Pu2Ga4NiPt3
Source: the Alexandria database
Functional: PBE
Structure: relaxed

Values from the calculation:
E_form, eV per atom: -0.665

Cell and atoms, written as POSCAR:
```
Pu2Ga4NiPt3
1.0
4.115 0.000 0.000
0.000 4.115 0.000
0.000 0.000 10.972
Pt Pu Ni Ga
3 2 1 4
direct
0.000 0.500 0.143 Pt
0.500 0.000 0.857 Pt
0.000 0.000 0.500 Pt
0.500 0.000 0.253 Pu
0.000 0.500 0.747 Pu
0.500 0.500 0.500 Ni
0.000 0.500 0.373 Ga
0.500 0.000 0.627 Ga
0.000 0.000 0.000 Ga
0.500 0.500 0.000 Ga
```


# 2
Compound: Pu2Ga4Ni3Pt
Source: the Alexandria database
Functional: PBE
Structure: relaxed

Values from the calculation:
E_form, eV per atom: -0.474

Cell and atoms, written as POSCAR:
```
Pu2Ga4Ni3Pt
1.0
-4.015 -0.132 0.138
0.150 -0.378 3.999
-0.312 10.521 1.007
Ga Ni Pt Pu
4 3 1 2
direct
0.000 0.500 0.360 Ga
0.500 0.500 0.000 Ga
0.000 0.000 0.000 Ga
0.500 0.000 0.640 Ga
0.500 0.000 0.866 Ni
0.000 0.500 0.134 Ni
0.000 0.000 0.500 Ni
0.500 0.500 0.500 Pt
0.000 0.500 0.760 Pu
0.500 0.000 0.240 Pu
```


# 3
Compound: Pu2Ga3NiPt4
Source: the Alexandria database
Functional: PBE
Structure: relaxed

Values from the calculation:
E_form, eV per atom: -0.681

Cell and atoms, written as POSCAR:
```
Pu2Ga3NiPt4
1.0
4.080 0.000 0.000
0.000 4.080 0.000
0.000 0.000 11.129
Pt Pu Ga Ni
4 2 3 1
direct
0.500 0.500 0.000 Pt
0.000 0.000 0.000 Pt
0.000 0.500 0.357 Pt
0.500 0.000 0.643 Pt
0.500 0.000 0.264 Pu
0.000 0.500 0.736 Pu
0.000 0.500 0.135 Ga
0.000 0.000 0.500 Ga
0.500 0.000 0.865 Ga
0.500 0.500 0.500 Ni
```


# 4
Compound: PuGa4Ni2Pt
Source: the Alexandria database
Functional: PBE
Structure: relaxed

Values from the calculation:
E_form, eV per atom: -0.387

Cell and atoms, written as POSCAR:
```
PuGa4Ni2Pt
1.0
4.162 0.000 0.000
2.081 3.604 0.000
2.081 1.201 8.841
Ga Ni Pu Pt
4 2 1 1
direct
0.600 0.600 0.200 Ga
0.875 0.875 0.376 Ga
0.400 0.400 0.800 Ga
0.125 0.125 0.624 Ga
0.770 0.770 0.689 Ni
0.230 0.230 0.311 Ni
0.000 0.000 0.000 Pu
0.500 0.500 0.500 Pt
```


# 5
Compound: PuGa4NiPt2
Source: the Alexandria database
Functional: PBE
Structure: relaxed

Values from the calculation:
E_form, eV per atom: -0.530

Cell and atoms, written as POSCAR:
```
PuGa4NiPt2
1.0
4.273 0.000 0.000
2.137 3.701 0.000
2.137 1.234 8.614
Ga Ni Pu Pt
4 1 1 2
direct
0.867 0.867 0.400 Ga
0.133 0.133 0.600 Ga
0.400 0.400 0.801 Ga
0.600 0.600 0.199 Ga
0.500 0.500 0.500 Ni
0.000 0.000 0.000 Pu
0.236 0.236 0.292 Pt
0.764 0.764 0.708 Pt
```


# 6
Compound: Pu2Ga3NiPt12
Source: the Alexandria database
Functional: PBE
Structure: relaxed

Values from the calculation:
E_form, eV per atom: -0.254

Cell and atoms, written as POSCAR:
```
Pu2Ga3NiPt12
1.0
7.865 -0.064 -0.045
3.829 6.871 -0.045
3.829 2.229 6.499
Pt Ga Ni Pu
12 3 1 2
direct
0.377 0.867 0.867 Pt
0.867 0.377 0.867 Pt
0.618 0.129 0.618 Pt
0.871 0.382 0.382 Pt
0.382 0.871 0.382 Pt
0.133 0.623 0.133 Pt
0.867 0.867 0.377 Pt
0.133 0.133 0.623 Pt
0.129 0.618 0.618 Pt
0.618 0.618 0.129 Pt
0.623 0.133 0.133 Pt
0.382 0.382 0.871 Pt
0.000 0.000 0.500 Ga
0.500 0.000 0.000 Ga
0.000 0.500 0.000 Ga
0.000 0.000 0.000 Ni
0.374 0.374 0.374 Pu
0.626 0.626 0.626 Pu
```


# 7
Compound: GaReNi2Pt
Source: the Alexandria database
Functional: PBE
Structure: relaxed

Values from the calculation:
E_form, eV per atom: 1.422

Cell and atoms, written as POSCAR:
```
GaReNi2Pt
1.0
4.584 0.000 0.000
0.000 4.774 0.000
0.000 0.000 4.584
Ni Ga Pt Re
2 1 1 1
direct
0.500 0.000 0.000 Ni
0.000 0.000 0.500 Ni
0.500 0.500 0.500 Ga
0.000 0.000 0.000 Pt
0.000 0.500 0.000 Re
```


# 8
Compound: GaNiRuPt2
Source: the Alexandria database
Functional: PBE
Structure: relaxed

Values from the calculation:
E_form, eV per atom: 0.925

Cell and atoms, written as POSCAR:
```
GaNiRuPt2
1.0
-3.086 -3.099 1.386
-0.586 -1.231 -4.056
3.336 -3.115 0.463
Ni Pt Ga Ru
1 2 1 1
direct
0.000 0.000 0.000 Ni
0.500 0.000 0.000 Pt
0.000 0.000 0.500 Pt
0.500 0.500 0.500 Ga
0.000 0.500 0.000 Ru
```


# 9
Compound: Ga2NiSbPt
Source: the Alexandria database
Functional: PBE
Structure: relaxed

Values from the calculation:
Formation energy from raw total energies, eV per formula unit: 0.52

Cell and atoms, written as POSCAR:
```
Ga2NiSbPt
1.0
4.425 0.000 0.000
0.000 5.060 0.000
0.000 0.000 4.425
Pt Ni Ga Sb
1 1 2 1
direct
0.500 0.500 0.500 Pt
0.000 0.000 0.000 Ni
0.000 0.000 0.500 Ga
0.500 0.000 0.000 Ga
0.000 0.500 0.000 Sb
```


# 10
Compound: GaNi7Sb2Pt2
Source: the Alexandria database
Functional: PBE
Structure: relaxed

Values from the calculation:
Formation energy from raw total energies, eV per formula unit: -1.30

Cell and atoms, written as POSCAR:
```
GaNi7Sb2Pt2
1.0
3.512 -0.002 0.022
0.002 3.512 0.022
1.700 1.698 13.899
Ni Pt Sb Ga
7 2 2 1
direct
0.268 0.268 0.461 Ni
0.934 0.434 0.130 Ni
0.732 0.732 0.539 Ni
0.434 0.934 0.130 Ni
0.500 0.500 0.000 Ni
0.566 0.066 0.870 Ni
0.066 0.566 0.870 Ni
0.364 0.364 0.268 Pt
0.636 0.636 0.732 Pt
0.184 0.184 0.639 Sb
0.816 0.816 0.361 Sb
0.000 0.000 0.000 Ga
```


# 11
Compound: ScGaNiPt
Source: the Alexandria database
Functional: PBE
Structure: relaxed

Values from the calculation:
E_form, eV per atom: -0.784

Cell and atoms, written as POSCAR:
```
ScGaNiPt
1.0
4.420 0.000 0.000
2.210 3.828 0.000
2.210 1.276 3.609
Ga Ni Pt Sc
1 1 1 1
direct
0.000 0.000 0.000 Ga
0.250 0.250 0.250 Ni
0.750 0.750 0.750 Pt
0.500 0.500 0.500 Sc
```


# 12
Compound: GaSi3Ni4Pt12
Source: the Alexandria database
Functional: PBE
Structure: relaxed

Values from the calculation:
Formation energy from raw total energies, eV per formula unit: 3.01

Cell and atoms, written as POSCAR:
```
GaSi3Ni4Pt12
1.0
-6.630 -3.536 1.779
4.732 -0.184 6.099
-1.433 7.339 -1.926
Pt Ni Ga Si
12 4 1 3
direct
0.571 0.719 0.852 Pt
0.148 0.429 0.281 Pt
0.429 0.281 0.148 Pt
0.148 0.867 0.719 Pt
0.281 0.852 0.133 Pt
0.852 0.133 0.281 Pt
0.867 0.719 0.148 Pt
0.719 0.148 0.867 Pt
0.719 0.852 0.571 Pt
0.852 0.571 0.719 Pt
0.133 0.281 0.852 Pt
0.281 0.148 0.429 Pt
0.000 0.000 0.500 Ni
0.000 0.500 0.000 Ni
0.500 0.500 0.500 Ni
0.500 0.000 0.000 Ni
0.000 0.000 0.000 Ga
0.000 0.500 0.500 Si
0.500 0.500 0.000 Si
0.500 0.000 0.500 Si
```


# 13
Compound: GaSiNiPt2
Source: the Alexandria database
Functional: PBE
Structure: relaxed

Values from the calculation:
Formation energy from raw total energies, eV per formula unit: 0.94

Cell and atoms, written as POSCAR:
```
GaSiNiPt2
1.0
4.560 0.000 0.000
0.000 4.219 0.000
0.000 0.000 4.560
Pt Si Ni Ga
2 1 1 1
direct
0.000 0.000 0.500 Pt
0.500 0.000 0.000 Pt
0.000 0.000 0.000 Si
0.000 0.500 0.000 Ni
0.500 0.500 0.500 Ga
```


# 14
Compound: Sm2GaNi2Pt5
Source: the Alexandria database
Functional: PBE
Structure: relaxed

Values from the calculation:
E_form, eV per atom: -0.803

Cell and atoms, written as POSCAR:
```
Sm2GaNi2Pt5
1.0
3.953 0.000 0.000
0.000 9.309 0.000
0.000 0.000 9.309
Ni Sm Pt Ga
4 4 10 2
direct
0.000 0.377 0.123 Ni
0.000 0.877 0.377 Ni
0.000 0.123 0.623 Ni
0.000 0.623 0.877 Ni
0.000 0.325 0.825 Sm
0.000 0.675 0.175 Sm
0.000 0.825 0.675 Sm
0.000 0.175 0.325 Sm
0.500 0.000 0.500 Pt
0.500 0.206 0.068 Pt
0.500 0.068 0.794 Pt
0.500 0.294 0.568 Pt
0.500 0.794 0.932 Pt
0.500 0.568 0.706 Pt
0.500 0.432 0.294 Pt
0.500 0.706 0.432 Pt
0.500 0.500 0.000 Pt
0.500 0.932 0.206 Pt
0.000 0.500 0.500 Ga
0.000 0.000 0.000 Ga
```


# 15
Compound: Sm2Ga3NiPt4
Source: the Alexandria database
Functional: PBE
Structure: relaxed

Values from the calculation:
E_form, eV per atom: -0.878

Cell and atoms, written as POSCAR:
```
Sm2Ga3NiPt4
1.0
-0.091 -3.167 -2.629
3.515 1.309 -1.698
5.714 -6.089 7.138
Ga Pt Ni Sm
3 4 1 2
direct
0.000 0.000 0.500 Ga
0.500 0.000 0.865 Ga
0.000 0.500 0.135 Ga
0.000 0.000 0.000 Pt
0.500 0.000 0.639 Pt
0.500 0.500 0.000 Pt
0.000 0.500 0.361 Pt
0.500 0.500 0.500 Ni
0.500 0.000 0.261 Sm
0.000 0.500 0.739 Sm
```


# 16
Compound: SmGa4NiPt2
Source: the Alexandria database
Functional: PBE
Structure: relaxed

Values from the calculation:
E_form, eV per atom: -0.659

Cell and atoms, written as POSCAR:
```
SmGa4NiPt2
1.0
-3.708 0.327 2.083
-3.660 -0.869 -2.011
-1.822 -8.487 2.458
Ni Pt Ga Sm
1 2 4 1
direct
0.500 0.500 0.500 Ni
0.238 0.238 0.286 Pt
0.762 0.762 0.714 Pt
0.135 0.135 0.595 Ga
0.401 0.401 0.798 Ga
0.599 0.599 0.202 Ga
0.865 0.865 0.405 Ga
0.000 0.000 0.000 Sm
```


# 17
Compound: Sm2Ga3Ni12Pt
Source: the Alexandria database
Functional: PBE
Structure: relaxed

Values from the calculation:
E_form, eV per atom: -0.018

Cell and atoms, written as POSCAR:
```
Sm2Ga3Ni12Pt
1.0
-1.888 -7.377 5.891
3.008 -4.661 7.869
-2.341 -2.360 9.036
Ga Sm Ni Pt
3 2 12 1
direct
0.000 0.000 0.500 Ga
0.000 0.500 0.000 Ga
0.500 0.000 0.000 Ga
0.641 0.641 0.641 Sm
0.359 0.359 0.359 Sm
0.586 0.191 0.586 Ni
0.414 0.414 0.809 Ni
0.565 0.120 0.120 Ni
0.880 0.880 0.435 Ni
0.586 0.586 0.191 Ni
0.191 0.586 0.586 Ni
0.120 0.565 0.120 Ni
0.435 0.880 0.880 Ni
0.880 0.435 0.880 Ni
0.414 0.809 0.414 Ni
0.809 0.414 0.414 Ni
0.120 0.120 0.565 Ni
0.000 0.000 0.000 Pt
```


# 18
Compound: Sm2Ga4NiPt3
Source: the Alexandria database
Functional: PBE
Structure: relaxed

Values from the calculation:
E_form, eV per atom: -0.870

Cell and atoms, written as POSCAR:
```
Sm2Ga4NiPt3
1.0
-1.486 -3.065 -2.358
-0.549 -2.333 3.379
-10.073 4.011 1.134
Sm Pt Ga Ni
2 3 4 1
direct
0.000 0.500 0.746 Sm
0.500 0.000 0.254 Sm
0.000 0.500 0.141 Pt
0.500 0.000 0.859 Pt
0.000 0.000 0.500 Pt
0.500 0.500 0.000 Ga
0.500 0.000 0.627 Ga
0.000 0.500 0.373 Ga
0.000 0.000 0.000 Ga
0.500 0.500 0.500 Ni
```


# 19
Compound: SmGa5Ni2Pt
Source: the Alexandria database
Functional: PBE
Structure: relaxed

Values from the calculation:
E_form, eV per atom: -0.340

Cell and atoms, written as POSCAR:
```
SmGa5Ni2Pt
1.0
-0.240 -1.793 3.851
2.378 -3.253 -1.366
7.862 4.635 2.648
Ni Ga Pt Sm
2 5 1 1
direct
0.500 0.500 0.730 Ni
0.500 0.500 0.270 Ni
0.500 0.000 0.838 Ga
0.000 0.500 0.838 Ga
0.500 0.500 0.500 Ga
0.000 0.500 0.162 Ga
0.500 0.000 0.162 Ga
0.000 0.000 0.000 Pt
0.000 0.000 0.500 Sm
```


# 20
Compound: SmGa2NiPt4
Source: the Alexandria database
Functional: PBE
Structure: relaxed

Values from the calculation:
E_form, eV per atom: -0.679

Cell and atoms, written as POSCAR:
```
SmGa2NiPt4
1.0
-0.535 1.224 4.088
-3.963 0.529 1.585
-1.618 -7.622 4.333
Ga Ni Pt Sm
2 1 4 1
direct
0.239 0.239 0.283 Ga
0.761 0.761 0.717 Ga
0.500 0.500 0.500 Ni
0.867 0.867 0.399 Pt
0.402 0.402 0.794 Pt
0.133 0.133 0.601 Pt
0.598 0.598 0.206 Pt
0.000 0.000 0.000 Sm
```